Er8AsPb2 | PBE-GGA | optimized geometry

Cell lengths 5.0529, 6.7943, 9.3620 Å; angles 86.82, 105.66, 90.00 degrees
Positions (direct):
Pb  0.8295  0.1786  0.6590
Pb  0.1705  0.8214  0.3410
Er  0.9739  0.7596  0.9478
Er  0.4085  0.4273  0.8169
Er  0.0261  0.2404  0.0522
Er  0.5915  0.5727  0.1831
Er  0.6527  0.0818  0.3054
Er  0.7863  0.6358  0.5726
Er  0.3473  0.9182  0.6946
Er  0.2137  0.3642  0.4274
As  0.5000  0.0000  0.0000

Summary:
Calculated density ... 9.82 g cm⁻³
ΔH_f (0 K) ... -9.62 kcal/mol of atoms
Symmetry ... No. 12